Here is a relaxed SbTe2N crystal from Alexandria via LeMat-Bulk. Energies are from PBE.

The calculation puts the theoretical density at 6.9 g/cm3. The energy relative to the elements, uncorrected comes out at 1279 meV per atom. The total magnetic moment comes out at 1.626 μB/f.u. Its volume is 23.4 Å³/atom. The value obtained for the density of states at the Fermi level is 3.1 states/eV/f.u. The offset from the most stable computed form comes out at 543 meV/atom.

It has space group Fm-3m (No. 225), with a = 7.2106 Å, b = 7.2106 Å, c = 7.2106 Å, α = 90.00°, β = 90.00° and γ = 90.00°. The inequivalent atoms are Sb at (0.0000, 0.0000, 0.0000), Te at (0.2500, 0.2500, 0.2500) and N at (0.0000, 0.0000, 0.5000).